Crystalline ScTcAu2 at its relaxed geometry, computed with PBE.

Cell lengths 4.095, 4.095, 4.138 Å; angles 90.00, 90.00, 90.00 degrees
Element x y z (fractional)
1 Sc 0.000 0.000 0.000
2 Tc 0.500 0.500 0.000
3 Au 0.000 0.500 0.500
4 Au 0.500 0.000 0.500

Computed properties:
Energy relative to the elements   -237 meV/atom
Total magnetic moment   0.91 μB/cell
Calculated density   12.8 g/cm³

Crystalline Pm3RhPb at its relaxed geometry, computed with PBE.

Cell lengths 8.383, 4.561, 15.200 Å; angles 90.00, 90.00, 90.00 degrees
Element x y z (fractional)
1 Pm 0.051 0.250 0.135
2 Pm 0.206 0.250 0.506
3 Pm 0.224 0.750 0.295
4 Pm 0.276 0.250 0.795
5 Pm 0.294 0.750 0.006
6 Pm 0.449 0.750 0.635
7 Pm 0.551 0.250 0.365
8 Pm 0.706 0.250 0.994
9 Pm 0.724 0.750 0.205
10 Pm 0.776 0.250 0.705
11 Pm 0.794 0.750 0.494
12 Pm 0.949 0.750 0.865
13 Rh 0.087 0.250 0.945
14 Rh 0.413 0.750 0.445
15 Rh 0.587 0.250 0.555
16 Rh 0.913 0.750 0.055
17 Pb 0.059 0.750 0.657
18 Pb 0.441 0.250 0.157
19 Pb 0.559 0.750 0.843
20 Pb 0.941 0.250 0.343

Computed properties:
Energy relative to the elements   -602 meV/atom
Total magnetic moment   0.00 μB/cell
Calculated density   8.5 g/cm³

Crystalline YBr at its relaxed geometry, computed with PBE.

Cell lengths 3.667, 6.812, 6.812 Å; angles 90.65, 90.00, 90.00 degrees
Element x y z (fractional)
1 Y 0.000 0.000 0.000
2 Y 0.500 0.043 0.431
3 Y 0.500 0.431 0.043
4 Br 0.000 0.300 0.686
5 Br 0.000 0.686 0.300
6 Br 0.500 0.759 0.759

Computed properties:
Total magnetic moment   0.00 μB/cell
Calculated density   4.9 g/cm³
Formation energy without anion corrections   -2.03 eV/f.u.